Entry 1:
First-principles (PBE) data for Pa2H2Se3 after structural relaxation, as listed in Alexandria.

Unit cell a=3.9513 b=3.9238 c=8.8153 alpha=102.86 beta=102.95 gamma=90.00
Last column: nearest neighbours and their distance in Å.
Fractional positions:
1 Se 0.0000 0.0000 0.0000  4 Pa 2.91, 8 H 3.05
2 Se 0.1882 0.6882 0.3765  2 H 2.74, 4 Pa 2.96
3 Se 0.8118 0.3118 0.6235  2 H 2.74, 4 Pa 2.96
4 Pa 0.6275 0.1275 0.2550  2 H 2.15
5 Pa 0.3725 0.8725 0.7450  2 H 2.15
6 H 0.4257 0.4257 0.8513  2 Pa 2.15
7 H 0.5743 0.5743 0.1487  2 Pa 2.15

As for the space group: Immm, No. 71. As for the theoretical density: 8.98 Mg/m³. The calculation puts the total DFT energy (no corrections) at -6.194 eV per atom.

Entry 2:
First-principles (PBE) data for Pa2H3Se3 after structural relaxation, as listed in Alexandria.

Unit cell a=3.8996 b=5.9359 c=7.0268 alpha=75.98 beta=106.11 gamma=90.00
Last column: nearest neighbours and their distance in Å.
Fractional positions:
1 H 0.5000 0.5000 0.0000  4 Pa 3.05, 2 H 3.23
2 H 0.3183 0.9722 0.6365  3 Pa 2.24-2.30
3 H 0.6817 0.0278 0.3635  3 Pa 2.24-2.30
4 Se 0.7972 0.3001 0.5944  3 H 2.51-2.72
5 Se 0.0000 0.0000 0.0000  2 Pa 2.75, 2 Se 2.87
6 Se 0.2028 0.6999 0.4056  3 H 2.51-2.72
7 Pa 0.8433 0.7811 0.6866  3 H 2.24-2.30
8 Pa 0.1567 0.2189 0.3134  3 H 2.24-2.30

As for the space group: C2/m, No. 12. As for the theoretical density: 7.71 Mg/m³. The calculation puts the total DFT energy (no corrections) at -5.435 eV per atom.

Entry 3:
First-principles (PBE) data for Pa3HSe6 after structural relaxation, as listed in Alexandria.

Unit cell a=6.6960 b=8.6882 c=8.6882 alpha=98.77 beta=90.00 gamma=90.00
Last column: nearest neighbours and their distance in Å.
Fractional positions:
1 Se 0.7108 0.8995 0.4483  3 Pa 2.81-2.91
2 Se 0.2108 0.1005 0.5517  3 Pa 2.81-2.91
3 Se 0.6412 0.2401 0.7599  3 Pa 2.81-2.98
4 Se 0.6749 0.6301 0.7241  1 H 2.63, 3 Pa 2.84-2.93
5 Se 0.7045 0.9735 0.0265  4 Pa 2.90-2.96
6 Se 0.1749 0.7241 0.6301  1 H 2.63, 3 Pa 2.84-2.93
7 Se 0.2108 0.4483 0.8995  3 Pa 2.81-2.91
8 Se 0.2045 0.0265 0.9735  4 Pa 2.90-2.96
9 Se 0.6749 0.2759 0.3699  1 H 2.63, 3 Pa 2.84-2.93
10 Se 0.1749 0.3699 0.2759  1 H 2.63, 3 Pa 2.84-2.93
11 Se 0.1412 0.7599 0.2401  3 Pa 2.81-2.98
12 Se 0.7108 0.5517 0.1005  3 Pa 2.81-2.91
13 Pa 0.9900 0.7258 0.9357  7 Se 2.81-2.96
14 Pa 0.9900 0.0643 0.2742  7 Se 2.81-2.96
15 Pa 0.3582 0.4148 0.5852  2 H 2.22-2.23
16 Pa 0.4900 0.2742 0.0643  7 Se 2.81-2.96
17 Pa 0.8582 0.5852 0.4148  2 H 2.22-2.23
18 Pa 0.4900 0.9357 0.7258  7 Se 2.81-2.96
19 H 0.5301 0.5596 0.4404  2 Pa 2.22-2.23
20 H 0.0301 0.4404 0.5596  2 Pa 2.22-2.23

As for the space group: Cmc2_1, No. 36. As for the theoretical density: 7.76 Mg/m³. The calculation puts the total DFT energy (no corrections) at -6.486 eV per atom.

Entry 4:
First-principles (PBE) data for Pa2HSe3 after structural relaxation, as listed in Alexandria.

Unit cell a=6.5938 b=7.5148 c=7.9201 alpha=118.32 beta=114.60 gamma=90.00
Last column: nearest neighbours and their distance in Å.
Fractional positions:
1 Se 0.5000 0.2500 0.0000  4 Pa 2.89
2 Se 0.7824 0.5324 0.5648  4 Pa 2.82-3.01
3 Se 0.5000 0.7500 0.0000  4 Pa 2.89
4 Se 0.7824 0.0324 0.5648  4 Pa 2.82-3.01
5 Se 0.2176 0.9676 0.4352  4 Pa 2.82-3.01
6 Se 0.2176 0.4676 0.4352  4 Pa 2.82-3.01
7 Pa 0.5898 0.3668 0.7336  1 H 2.45
8 Pa 0.8562 0.1332 0.2664  1 H 2.45
9 Pa 0.4102 0.6332 0.2664  1 H 2.45
10 Pa 0.1438 0.8668 0.7336  1 H 2.45
11 H 0.0000 0.0000 0.0000  2 Pa 2.45
12 H 0.0000 0.5000 0.0000  2 Pa 2.45

As for the space group: Ibam, No. 72. As for the theoretical density: 7.64 Mg/m³. The calculation puts the total DFT energy (no corrections) at -6.370 eV per atom.

Entry 5:
First-principles (PBE) data for Pa2HSe4 after structural relaxation, as listed in Alexandria.

Unit cell a=8.4179 b=8.4178 c=8.4179 alpha=124.02 beta=123.65 gamma=83.48
Last column: nearest neighbours and their distance in Å.
Fractional positions:
1 Se 0.8496 0.0942 0.2412  3 Pa 2.84-2.86
2 Se 0.3249 0.6023 0.7225  1 H 1.57
3 Se 0.3969 0.6558 0.2553  3 Pa 2.84-2.86
4 Se 0.8651 0.6089 0.2561  1 H 2.22
5 Se 0.3969 0.1416 0.7412  3 Pa 2.84-2.86
6 Se 0.8972 0.1411 0.7562  1 H 2.22
7 Se 0.8496 0.6084 0.7553  3 Pa 2.84-2.86
8 Se 0.3702 0.1477 0.2226  1 H 1.57
9 Pa 0.6312 0.3812 0.2500  6 Se 2.86-2.94
10 Pa 0.6176 0.8750 0.2426  6 Se 2.84-2.93
11 Pa 0.1188 0.3688 0.7500  6 Se 2.86-2.94
12 Pa 0.6176 0.3750 0.7425  6 Se 2.84-2.93
13 H 0.1471 0.1149 0.0322  1 Se 1.57
14 H 0.1672 0.6350 0.5322  1 Se 1.57

As for the space group: Ima2, No. 46. As for the theoretical density: 6.56 Mg/m³. The calculation puts the total DFT energy (no corrections) at -6.131 eV per atom.

Entry 6:
First-principles (PBE) data for Pa5H2Se5 after structural relaxation, as listed in Alexandria.

Unit cell a=3.8174 b=6.9712 c=10.7293 alpha=111.67 beta=90.00 gamma=105.89
Last column: nearest neighbours and their distance in Å.
Fractional positions:
1 Se 0.5000 0.0000 0.5000  6 Pa 2.87-2.97
2 Se 0.2554 0.5108 0.6419  5 Pa 2.87-2.90, 1 Se 3.10
3 Se 0.7446 0.4892 0.3581  5 Pa 2.87-2.90, 1 Se 3.10
4 Se 0.6666 0.3332 0.0463  5 Pa 2.83-2.98, 2 H 3.04, 1 Se 3.10
5 Se 0.3334 0.6668 0.9537  5 Pa 2.83-2.98, 2 H 3.04, 1 Se 3.10
6 Pa 0.0000 0.0000 0.0000  2 H 2.56, 4 Se 2.83
7 Pa 0.0896 0.1791 0.3719  1 H 2.29
8 Pa 0.9104 0.8209 0.6281  1 H 2.29
9 Pa 0.3316 0.6633 0.2223  2 H 2.41
10 Pa 0.6684 0.3367 0.7777  2 H 2.41
11 H 0.0712 0.1424 0.8101  4 Pa 2.29-2.56
12 H 0.9288 0.8576 0.1899  4 Pa 2.29-2.56

As for the space group: C2/m, No. 12. As for the theoretical density: 10.16 Mg/m³. The calculation puts the total DFT energy (no corrections) at -6.874 eV per atom.